VASP calculation (PBE-GGA) on a relaxed structure of Pm4Co2Pd.

Summary:
crystal system	orthorhombic
DFT total energy	-157.79	eV per cell
DOS at the Fermi energy	1.073	states/eV per atom

The structure in CIF format:
```
data_Pm4Co2Pd
_chemical_formula_sum 'Pm16 Co8 Pd4'
_cell_length_a 3.925
_cell_length_b 10.492
_cell_length_c 18.376
_cell_angle_alpha 90.00
_cell_angle_beta 90.00
_cell_angle_gamma 90.00
_symmetry_space_group_name_H-M 'C m c m'
_symmetry_Int_Tables_number 63
_symmetry_space_group_name_Hall '-C 2c 2'
loop_
_atom_site_label
_atom_site_type_symbol
_atom_site_fract_x
_atom_site_fract_y
_atom_site_fract_z
_atom_site_occupancy
Pm1 Pm 0.000 0.000 0.000 1
Pm2 Pm 0.000 0.282 0.133 1
Pm3 Pm 0.000 0.436 0.750 1
Co1 Co 0.000 0.284 0.520 1
Pd1 Pd 0.000 0.145 0.750 1
```